A plane-wave DFT calculation with PBE was carried out for a relaxed structure of MnAs2Ir.

The calculation puts the density at 11.41 g cm⁻³. The magnetization is 0.94 μB/cell. The calculation puts the total energy at -6.725 eV/atom. The value obtained for the volume is 14.44 A^3/atom. The formation enthalpy at 0 K is 108 meV/atom.

Geometry as POSCAR:
```
MnAs2Ir
1.0
7.851 -0.006 -0.003
7.298 2.892 -0.003
7.298 1.391 2.536
As Ir Mn
2 1 1
direct
0.006 0.006 0.006
0.494 0.494 0.494
0.250 0.250 0.250
0.750 0.750 0.750
```



A plane-wave DFT calculation with PBE was carried out for a relaxed structure of MnAs2Ir.

The calculation puts the density at 10.41 g cm⁻³. The magnetization is 3.63 μB/cell. The calculation puts the total energy at -6.751 eV/atom. The value obtained for the volume is 15.84 A^3/atom. The formation enthalpy at 0 K is 82 meV/atom.

Geometry as POSCAR:
```
MnAs2Ir
1.0
4.195 -0.004 0.003
3.126 2.798 0.003
1.116 0.426 5.394
As Ir Mn
2 1 1
direct
0.002 0.002 0.997
0.498 0.498 0.503
0.750 0.750 0.750
0.250 0.250 0.250
```



A plane-wave DFT calculation with PBE was carried out for a relaxed structure of MnAs2Ir.

The calculation puts the density at 9.31 g cm⁻³. The magnetization is 2.95 μB/cell. The calculation puts the total energy at -6.759 eV/atom. The value obtained for the volume is 17.70 A^3/atom. The formation enthalpy at 0 K is 74 meV/atom.

Geometry as POSCAR:
```
MnAs2Ir
1.0
-3.006 -4.239 8.340
-1.301 -6.378 7.360
-0.153 -4.189 8.887
As Ir Mn
2 1 1
direct
0.022 0.022 0.022
0.228 0.228 0.228
0.495 0.495 0.495
0.755 0.755 0.755
```